[1]
# BeNbAuI2 | Alexandria | PBE | optimized geometry
# **D(E_F)**: 0.702 states/eV/atom
# **Volume**: 144.0 Å³/cell
# **M_tot**: 3.84 μB/f.u.
# **Space group**: P4/mmm, No. 123
# **E_form (uncorrected)**: 498 kJ/mol of formula units
data_BeNbAuI2
_chemical_formula_sum 'Be1 Nb1 Au1 I2'
_symmetry_space_group_name_H-M 'P 1'
_symmetry_Int_Tables_number 1
_cell_length_a 5.807
_cell_length_b 5.807
_cell_length_c 4.271
_cell_angle_alpha 90.00
_cell_angle_beta 90.00
_cell_angle_gamma 90.00
loop_
_symmetry_equiv_pos_as_xyz
'x,y,z'
loop_
_atom_site_label
_atom_site_type_symbol
_atom_site_fract_x
_atom_site_fract_y
_atom_site_fract_z
Be1 Be 0.000 0.000 0.000
Nb1 Nb 0.500 0.500 0.000
Au1 Au 0.000 0.000 0.500
I1 I 0.000 0.500 0.500
I2 I 0.500 0.000 0.500


[2]
# K3LiNp2S6 | Alexandria | PBE | optimized geometry
# **D(E_F)**: 1.229 states/eV/atom
# **Volume**: 308.7 Å³/cell
# **M_tot**: 6.00 μB/f.u.
# **Space group**: C2/m, No. 12
# **E_form (uncorrected)**: -1575 kJ/mol of formula units
data_K3LiNp2S6
_chemical_formula_sum 'K3 Li1 Np2 S6'
_symmetry_space_group_name_H-M 'P 1'
_symmetry_Int_Tables_number 1
_cell_length_a 6.992
_cell_length_b 6.992
_cell_length_c 7.654
_cell_angle_alpha 98.70
_cell_angle_beta 98.70
_cell_angle_gamma 120.03
loop_
_symmetry_equiv_pos_as_xyz
'x,y,z'
loop_
_atom_site_label
_atom_site_type_symbol
_atom_site_fract_x
_atom_site_fract_y
_atom_site_fract_z
K1 K 0.000 0.000 0.000
K2 K 0.340 0.660 0.000
K3 K 0.660 0.340 0.000
Li1 Li 0.500 0.500 0.500
Np1 Np 0.167 0.833 0.500
Np2 Np 0.833 0.167 0.500
S1 S 0.084 0.434 0.301
S2 S 0.218 0.218 0.696
S3 S 0.434 0.084 0.301
S4 S 0.566 0.916 0.699
S5 S 0.782 0.782 0.304
S6 S 0.916 0.566 0.699


[3]
# ScCrNiGe | Alexandria | PBE | optimized geometry
# **D(E_F)**: 0.636 states/eV/atom
# **Volume**: 59.9 Å³/cell
# **Excess energy over the best structure of this formula in the dataset**: 0.029 eV per atom
# **M_tot**: 2.80 μB/f.u.
# **E_form**: -0.24 eV per atom
# **Space group**: Pmmm, No. 47
data_ScCrNiGe
_chemical_formula_sum 'Sc1 Cr1 Ni1 Ge1'
_symmetry_space_group_name_H-M 'P 1'
_symmetry_Int_Tables_number 1
_cell_length_a 3.807
_cell_length_b 3.859
_cell_length_c 4.080
_cell_angle_alpha 90.00
_cell_angle_beta 90.00
_cell_angle_gamma 90.00
loop_
_symmetry_equiv_pos_as_xyz
'x,y,z'
loop_
_atom_site_label
_atom_site_type_symbol
_atom_site_fract_x
_atom_site_fract_y
_atom_site_fract_z
Sc1 Sc 0.000 0.000 0.000
Cr1 Cr 0.500 0.000 0.500
Ni1 Ni 0.500 0.500 0.000
Ge1 Ge 0.000 0.500 0.500


[4]
# Pm3TmGa4 | Alexandria | PBE | optimized geometry
# **D(E_F)**: 0.404 states/eV/atom
# **Volume**: 191.7 Å³/cell
# **M_tot**: 0.00 μB/f.u.
# **E_form**: -0.57 eV per atom
# **Space group**: P4/mmm, No. 123
data_Pm3TmGa4
_chemical_formula_sum 'Pm3 Tm1 Ga4'
_symmetry_space_group_name_H-M 'P 1'
_symmetry_Int_Tables_number 1
_cell_length_a 3.625
_cell_length_b 3.625
_cell_length_c 14.588
_cell_angle_alpha 90.00
_cell_angle_beta 90.00
_cell_angle_gamma 90.00
loop_
_symmetry_equiv_pos_as_xyz
'x,y,z'
loop_
_atom_site_label
_atom_site_type_symbol
_atom_site_fract_x
_atom_site_fract_y
_atom_site_fract_z
Pm1 Pm 0.000 0.000 0.000
Pm2 Pm 0.000 0.000 0.256
Pm3 Pm 0.000 0.000 0.744
Tm1 Tm 0.000 0.000 0.500
Ga1 Ga 0.500 0.500 0.128
Ga2 Ga 0.500 0.500 0.387
Ga3 Ga 0.500 0.500 0.613
Ga4 Ga 0.500 0.500 0.872


[5]
# Na2HSeI | Alexandria | PBE | optimized geometry
# **D(E_F)**: 0.269 states/eV/atom
# **Volume**: 123.1 Å³/cell
# **M_tot**: 0.09 μB/f.u.
# **Final energy**: -14.44 eV per formula unit
# **Space group**: P4/mmm, No. 123
data_Na2HSeI
_chemical_formula_sum 'Na2 H1 Se1 I1'
_symmetry_space_group_name_H-M 'P 1'
_symmetry_Int_Tables_number 1
_cell_length_a 5.740
_cell_length_b 5.740
_cell_length_c 3.736
_cell_angle_alpha 90.00
_cell_angle_beta 90.00
_cell_angle_gamma 90.00
loop_
_symmetry_equiv_pos_as_xyz
'x,y,z'
loop_
_atom_site_label
_atom_site_type_symbol
_atom_site_fract_x
_atom_site_fract_y
_atom_site_fract_z
Na1 Na 0.000 0.500 0.000
Na2 Na 0.500 0.000 0.000
H1 H 0.000 0.000 0.500
Se1 Se 0.000 0.000 0.000
I1 I 0.500 0.500 0.500


[6]
# Ho2TmRh3 | Alexandria | PBE | optimized geometry
# **D(E_F)**: 0.639 states/eV/atom
# **Volume**: 235.4 Å³/cell
# **M_tot**: 0.00 μB/f.u.
# **E_form**: -0.93 eV per atom
# **Space group**: P-3m1, No. 164
data_Ho2TmRh3
_chemical_formula_sum 'Ho4 Tm2 Rh6'
_symmetry_space_group_name_H-M 'P 1'
_symmetry_Int_Tables_number 1
_cell_length_a 4.810
_cell_length_b 4.810
_cell_length_c 11.749
_cell_angle_alpha 90.00
_cell_angle_beta 90.00
_cell_angle_gamma 120.00
loop_
_symmetry_equiv_pos_as_xyz
'x,y,z'
loop_
_atom_site_label
_atom_site_type_symbol
_atom_site_fract_x
_atom_site_fract_y
_atom_site_fract_z
Ho1 Ho 0.000 0.000 0.000
Ho2 Ho 0.000 0.000 0.500
Ho3 Ho 0.333 0.667 0.168
Ho4 Ho 0.667 0.333 0.832
Tm1 Tm 0.333 0.667 0.666
Tm2 Tm 0.667 0.333 0.334
Rh1 Rh 0.000 0.000 0.251
Rh2 Rh 0.000 0.000 0.749
Rh3 Rh 0.333 0.667 0.417
Rh4 Rh 0.333 0.667 0.916
Rh5 Rh 0.667 0.333 0.084
Rh6 Rh 0.667 0.333 0.583


[7]
# TiIn | Alexandria | PBE | optimized geometry
# **D(E_F)**: 0.952 states/eV/atom
# **Volume**: 174.6 Å³/cell
# **M_tot**: 0.00 μB/f.u.
# **E_form**: 0.06 eV per atom
# **Space group**: I4/m, No. 87
data_TiIn
_chemical_formula_sum 'Ti4 In4'
_symmetry_space_group_name_H-M 'P 1'
_symmetry_Int_Tables_number 1
_cell_length_a 7.646
_cell_length_b 7.646
_cell_length_c 7.646
_cell_angle_alpha 92.38
_cell_angle_beta 92.38
_cell_angle_gamma 156.49
loop_
_symmetry_equiv_pos_as_xyz
'x,y,z'
loop_
_atom_site_label
_atom_site_type_symbol
_atom_site_fract_x
_atom_site_fract_y
_atom_site_fract_z
Ti1 Ti 0.082 0.371 0.453
Ti2 Ti 0.371 0.918 0.290
Ti3 Ti 0.629 0.082 0.710
Ti4 Ti 0.918 0.629 0.547
In1 In 0.104 0.827 0.931
In2 In 0.173 0.104 0.276
In3 In 0.827 0.896 0.724
In4 In 0.896 0.173 0.069


[8]
# Tb4PrTm4 | Alexandria | PBE | optimized geometry
# **D(E_F)**: 1.415 states/eV/atom
# **Volume**: 283.1 Å³/cell
# **Excess energy over the best structure of this formula in the dataset**: 0.000 eV per atom
# **M_tot**: 0.00 μB/f.u.
# **E_form**: 0.02 eV per atom
# **Space group**: I4/mmm, No. 139
data_Tb4PrTm4
_chemical_formula_sum 'Tb4 Pr1 Tm4'
_symmetry_space_group_name_H-M 'P 1'
_symmetry_Int_Tables_number 1
_cell_length_a 7.935
_cell_length_b 7.935
_cell_length_c 7.935
_cell_angle_alpha 95.67
_cell_angle_beta 95.67
_cell_angle_gamma 143.34
loop_
_symmetry_equiv_pos_as_xyz
'x,y,z'
loop_
_atom_site_label
_atom_site_type_symbol
_atom_site_fract_x
_atom_site_fract_y
_atom_site_fract_z
Tb1 Tb 0.000 0.333 0.333
Tb2 Tb 0.000 0.667 0.667
Tb3 Tb 0.333 0.000 0.333
Tb4 Tb 0.667 0.000 0.667
Pr1 Pr 0.000 0.000 0.000
Tm1 Tm 0.332 0.332 0.665
Tm2 Tm 0.332 0.668 0.000
Tm3 Tm 0.668 0.332 0.000
Tm4 Tm 0.668 0.668 0.335


[9]
# Na10B13C7 | Alexandria | PBE | optimized geometry
# **D(E_F)**: 0.150 states/eV/atom
# **Volume**: 306.8 Å³/cell
# **Excess energy over the best structure of this formula in the dataset**: 0.030 eV per atom
# **M_tot**: 0.00 μB/f.u.
# **E_form**: 0.11 eV per atom
# **Space group**: C2, No. 5
data_Na10B13C7
_chemical_formula_sum 'Na10 B13 C7'
_symmetry_space_group_name_H-M 'P 1'
_symmetry_Int_Tables_number 1
_cell_length_a 7.664
_cell_length_b 7.664
_cell_length_c 10.321
_cell_angle_alpha 122.18
_cell_angle_beta 122.18
_cell_angle_gamma 37.75
loop_
_symmetry_equiv_pos_as_xyz
'x,y,z'
loop_
_atom_site_label
_atom_site_type_symbol
_atom_site_fract_x
_atom_site_fract_y
_atom_site_fract_z
Na1 Na 0.000 0.999 0.748
Na2 Na 0.001 0.000 0.252
Na3 Na 0.199 0.199 0.746
Na4 Na 0.201 0.201 0.251
Na5 Na 0.400 0.399 0.749
Na6 Na 0.402 0.401 0.254
Na7 Na 0.599 0.598 0.746
Na8 Na 0.601 0.600 0.251
Na9 Na 0.799 0.799 0.749
Na10 Na 0.801 0.801 0.254
B1 B 0.001 0.613 0.999
B2 B 0.021 0.381 0.000
B3 B 0.034 0.365 0.500
B4 B 0.163 0.837 0.000
B5 B 0.168 0.832 0.500
B6 B 0.232 0.558 0.501
B7 B 0.387 0.999 0.001
B8 B 0.442 0.768 0.499
B9 B 0.570 0.240 0.000
B10 B 0.619 0.979 0.000
B11 B 0.635 0.966 0.500
B12 B 0.760 0.430 0.000
B13 B 0.817 0.183 0.500
C1 C 0.233 0.576 0.999
C2 C 0.375 0.030 0.499
C3 C 0.424 0.767 0.001
C4 C 0.567 0.231 0.501
C5 C 0.769 0.433 0.499
C6 C 0.828 0.172 0.000
C7 C 0.970 0.625 0.501


[10]
# Ta2InNi | Alexandria | PBE | optimized geometry
# **D(E_F)**: 0.869 states/eV/atom
# **Volume**: 68.4 Å³/cell
# **M_tot**: 0.00 μB/f.u.
# **E_form**: 0.11 eV per atom
# **Space group**: P2/m, No. 10
data_Ta2InNi
_chemical_formula_sum 'Ta2 In1 Ni1'
_symmetry_space_group_name_H-M 'P 1'
_symmetry_Int_Tables_number 1
_cell_length_a 2.929
_cell_length_b 4.005
_cell_length_c 5.843
_cell_angle_alpha 90.00
_cell_angle_beta 93.93
_cell_angle_gamma 90.00
loop_
_symmetry_equiv_pos_as_xyz
'x,y,z'
loop_
_atom_site_label
_atom_site_type_symbol
_atom_site_fract_x
_atom_site_fract_y
_atom_site_fract_z
Ta1 Ta 0.033 0.000 0.273
Ta2 Ta 0.967 0.000 0.727
In1 In 0.500 0.500 0.000
Ni1 Ni 0.500 0.500 0.500


[11]
# Sm5Ni2Pt | Alexandria | PBE | optimized geometry
# **D(E_F)**: 1.030 states/eV/atom
# **Volume**: 388.5 Å³/cell
# **M_tot**: 0.00 μB/f.u.
# **E_form**: -0.47 eV per atom
# **Space group**: I4/mcm, No. 140
data_Sm5Ni2Pt
_chemical_formula_sum 'Sm10 Ni4 Pt2'
_symmetry_space_group_name_H-M 'P 1'
_symmetry_Int_Tables_number 1
_cell_length_a 8.582
_cell_length_b 8.582
_cell_length_c 8.582
_cell_angle_alpha 127.21
_cell_angle_beta 127.21
_cell_angle_gamma 77.90
loop_
_symmetry_equiv_pos_as_xyz
'x,y,z'
loop_
_atom_site_label
_atom_site_type_symbol
_atom_site_fract_x
_atom_site_fract_y
_atom_site_fract_z
Sm1 Sm 0.000 0.000 0.000
Sm2 Sm 0.027 0.527 0.835
Sm3 Sm 0.192 0.027 0.500
Sm4 Sm 0.308 0.808 0.835
Sm5 Sm 0.473 0.308 0.500
Sm6 Sm 0.500 0.500 0.000
Sm7 Sm 0.527 0.692 0.500
Sm8 Sm 0.692 0.192 0.165
Sm9 Sm 0.808 0.973 0.500
Sm10 Sm 0.973 0.473 0.165
Ni1 Ni 0.122 0.378 0.500
Ni2 Ni 0.378 0.878 0.256
Ni3 Ni 0.622 0.122 0.744
Ni4 Ni 0.878 0.622 0.500
Pt1 Pt 0.250 0.250 0.000
Pt2 Pt 0.750 0.750 0.000